1.
The following is a PBE-GGA calculation of a relaxed structure of AgTe2W, from Alexandria.

Cell: 9.2392 3.5142 6.7359 Å, 90.00 100.71 90.00°
Atoms (fractional coordinates):
Ag 0.0000 0.0000 0.0000
Ag 0.5000 0.5000 0.0000
Te 0.2473 0.0000 0.8629
Te 0.4656 0.0000 0.3610
Te 0.7473 0.5000 0.8629
Te 0.9656 0.5000 0.3610
W 0.2498 0.5000 0.1833
W 0.7498 0.0000 0.1833

- SG = Cm (8)
- ΔE_f (raw) (eV/f.u.) = 1.92

=====

2.
The following is a PBE-GGA calculation of a relaxed structure of AgTe2W, from Alexandria.

Cell: 4.1016 4.1016 6.3365 Å, 90.00 90.00 90.00°
Atoms (fractional coordinates):
Ag 0.0000 0.0000 0.0000
Te 0.0000 0.5000 0.7089
Te 0.5000 0.0000 0.2911
W 0.5000 0.5000 0.0000

- SG = P-4m2 (115)
- ΔE_f (raw) (eV/f.u.) = 1.73

=====

no.,N(E_F) (states/eV/atom),distance to the lowest polymorph of the same formula (meV/atom),spin magnetization (μB/cell)
1,0.5722,189.5,0.0
2,0.6116,140.8,0.0